# 1
The following is a DFT calculation (GGA-PBE) of KCa3Ag after structural relaxation.

Lattice parameters (Å, degrees): 6.4883 6.4883 6.4883 90.00 90.00 90.00
Fractional coordinates of all 5 atoms:
K1 0.0000 0.0000 0.0000
Ca1 0.0000 0.5000 0.0000
Ca2 0.5000 0.0000 0.0000
Ca3 0.0000 0.0000 0.5000
Ag1 0.5000 0.5000 0.5000

Values from the calculation:
- DOS at the Fermi energy (states/eV/atom) = 1.193
- energy relative to the elements (meV per atom) = 1017
- mass density (Mg/m³) = 1.62



# 2
The following is a DFT calculation (GGA-PBE) of K3CaAg after structural relaxation.

Lattice parameters (Å, degrees): 7.4155 7.4155 7.4155 90.00 90.00 90.00
Fractional coordinates of all 5 atoms:
Ca1 0.0000 0.0000 0.0000
K1 0.5000 0.0000 0.0000
K2 0.0000 0.0000 0.5000
K3 0.0000 0.5000 0.0000
Ag1 0.5000 0.5000 0.5000

Values from the calculation:
- DOS at the Fermi energy (states/eV/atom) = 1.513
- energy relative to the elements (meV per atom) = 670
- mass density (Mg/m³) = 1.08



# 3
The following is a DFT calculation (GGA-PBE) of K2CaAg2 after structural relaxation.

Lattice parameters (Å, degrees): 4.7387 4.7387 8.3849 73.59 73.59 90.00
Fractional coordinates of all 5 atoms:
K1 0.2500 0.7500 0.5000
K2 0.7500 0.2500 0.5000
Ag1 0.5875 0.5875 0.8251
Ag2 0.4125 0.4125 0.1749
Ca1 0.0000 0.0000 0.0000

Values from the calculation:
- DOS at the Fermi energy (states/eV/atom) = 0.567
- energy relative to the elements (meV per atom) = 117
- mass density (Mg/m³) = 3.21



# 4
The following is a DFT calculation (GGA-PBE) of K2CaAg2 after structural relaxation.

Lattice parameters (Å, degrees): 8.1608 8.1608 5.3620 90.00 90.00 90.00
Fractional coordinates of all 10 atoms:
K1 0.1662 0.6662 0.5000
K2 0.3338 0.1662 0.5000
K3 0.8338 0.3338 0.5000
K4 0.6662 0.8338 0.5000
Ag1 0.3758 0.8758 0.0000
Ag2 0.6242 0.1242 0.0000
Ag3 0.8758 0.6242 0.0000
Ag4 0.1242 0.3758 0.0000
Ca1 0.0000 0.0000 0.0000
Ca2 0.5000 0.5000 0.0000

Values from the calculation:
- DOS at the Fermi energy (states/eV/atom) = 0.229
- energy relative to the elements (meV per atom) = 33
- mass density (Mg/m³) = 3.11



# 5
The following is a DFT calculation (GGA-PBE) of KCa2Ag2 after structural relaxation.

Lattice parameters (Å, degrees): 8.7658 8.7658 4.0392 90.00 90.00 90.00
Fractional coordinates of all 10 atoms:
K1 0.0000 0.0000 0.0000
K2 0.5000 0.5000 0.0000
Ag1 0.6244 0.1244 0.0000
Ag2 0.8756 0.6244 0.0000
Ag3 0.1244 0.3756 0.0000
Ag4 0.3756 0.8756 0.0000
Ca1 0.1562 0.6562 0.5000
Ca2 0.3438 0.1562 0.5000
Ca3 0.6562 0.8438 0.5000
Ca4 0.8438 0.3438 0.5000

Values from the calculation:
- DOS at the Fermi energy (states/eV/atom) = 0.765
- energy relative to the elements (meV per atom) = -135
- mass density (Mg/m³) = 3.58



# 6
The following is a DFT calculation (GGA-PBE) of KCaAg3 after structural relaxation.

Lattice parameters (Å, degrees): 5.5662 5.5662 5.5662 90.00 90.00 90.00
Fractional coordinates of all 5 atoms:
Ag1 0.5000 0.0000 0.0000
Ag2 0.0000 0.5000 0.0000
Ag3 0.0000 0.0000 0.5000
K1 0.0000 0.0000 0.0000
Ca1 0.5000 0.5000 0.5000

Values from the calculation:
- DOS at the Fermi energy (states/eV/atom) = 0.483
- energy relative to the elements (meV per atom) = 667
- mass density (Mg/m³) = 3.88